(1)
! Sr2BiAsBr | Alexandria | meta-GGA SCAN | single point on PBEsol structure; values from VASP
! Uncorrected formation energy: -521 meV per atom
! Calculated volume: 42.377 Å³ per atom
&SYSTEM
  ibrav = 0, nat = 5, ntyp = 4
/
ATOMIC_SPECIES
Br 79.90 Br.upf
As 74.92 As.upf
Sr 87.62 Sr.upf
Bi 208.98 Bi.upf
CELL_PARAMETERS angstrom
5.342 0.000 0.000
0.000 6.298 0.000
0.000 0.000 6.298
ATOMIC_POSITIONS angstrom
Br 2.671 3.149 3.149
As 2.671 0.000 0.000
Sr 0.000 3.149 0.000
Sr 0.000 0.000 3.149
Bi 0.000 0.000 0.000

(2)
! Bi3AsC | Alexandria | meta-GGA SCAN | single point on PBEsol structure; values from VASP
! Energy above the most stable polymorph in this dataset: 0.0 kJ/mol of atoms
! Formation enthalpy at 0 K: 114.9 kJ per mole of atoms
! Calculated volume: 24.116 Å³ per atom
&SYSTEM
  ibrav = 0, nat = 5, ntyp = 3
/
ATOMIC_SPECIES
Bi 208.98 Bi.upf
As 74.92 As.upf
C 12.01 C.upf
CELL_PARAMETERS angstrom
4.940 0.000 0.000
0.000 4.940 0.000
0.000 0.000 4.940
ATOMIC_POSITIONS angstrom
Bi 2.470 0.000 0.000
Bi 0.000 0.000 2.470
As 2.470 2.470 2.470
Bi 0.000 2.470 0.000
C 0.000 0.000 0.000

(3)
! Si4Bi2AsH38C14Cl2 | Alexandria | meta-GGA SCAN | single point on PBEsol structure; values from VASP
! Calculated total energy: -8.52 eV/atom
! Calculated volume: 12.695 Å³ per atom
&SYSTEM
  ibrav = 0, nat = 122, ntyp = 6
/
ATOMIC_SPECIES
H 1.01 H.upf
Bi 208.98 Bi.upf
C 12.01 C.upf
Cl 35.45 Cl.upf
Si 28.09 Si.upf
As 74.92 As.upf
CELL_PARAMETERS angstrom
-6.952 -3.253 5.552
7.896 -8.872 3.459
5.155 9.973 7.735
ATOMIC_POSITIONS angstrom
H 2.850 -3.714 2.118
H 2.841 -5.395 6.063
H -3.279 -5.876 6.522
Bi -2.651 -2.427 5.508
H 3.578 -0.326 2.853
C 3.295 4.256 10.244
H 3.249 1.562 14.628
H 4.369 5.966 7.397
C 7.606 -1.059 9.766
H 3.854 -0.093 14.884
C 6.408 -0.771 6.975
H 9.378 3.724 10.224
H 3.721 -6.552 7.097
H 0.055 1.385 11.502
H 6.164 3.096 10.861
C 8.489 1.238 7.878
H 2.378 4.400 9.649
H 5.986 -1.785 7.057
C -0.213 -6.210 6.408
H 3.331 -4.772 13.372
H 2.245 -2.060 1.862
H -0.427 2.737 7.669
H -1.165 -6.154 6.962
C -1.507 -1.093 6.980
H 0.462 -2.098 9.440
C 0.655 1.747 12.354
H 7.080 -3.753 7.826
H 3.490 2.368 4.987
H -0.513 -1.578 10.838
H -0.615 5.548 12.454
H 1.866 5.287 5.837
C -0.309 -1.381 9.771
C -2.390 -3.390 8.868
Cl -5.113 -2.034 6.642
H -0.972 0.573 4.120
H 1.292 4.167 7.102
H 2.224 -5.345 9.492
C 4.749 3.033 7.909
Si 6.274 -5.349 3.536
H 0.741 4.808 11.563
H 5.555 -3.446 8.701
H 3.291 4.984 11.072
H 1.607 -1.700 12.375
H -0.331 2.091 4.797
C 9.354 -1.613 7.234
Si 7.984 -0.571 7.981
C 6.312 4.058 10.339
H 4.468 -4.228 4.789
H 6.526 -4.889 9.078
As 1.671 7.385 9.732
H 5.358 -6.961 5.183
H 1.470 -4.203 8.349
Bi 8.750 0.275 11.239
H 6.407 4.843 11.107
C 5.444 -3.899 4.392
H 5.562 -2.708 11.683
H -0.495 -1.503 6.769
H 5.636 -0.054 7.306
H 0.544 1.294 8.045
Si 1.247 -6.546 7.540
C 1.057 -8.179 8.469
H 1.730 -8.119 9.350
H -0.065 -5.248 5.885
H 0.840 0.893 13.027
C -3.255 -0.539 9.512
H 7.041 -6.551 5.611
C 1.350 -5.186 8.838
C 2.687 -2.937 1.355
H 1.631 2.075 11.957
H -1.647 -4.045 8.379
H -0.308 -6.995 5.639
H 6.044 -3.537 5.244
H 7.264 4.002 9.784
H 5.259 -3.045 3.720
Bi 1.803 -10.150 7.556
H -2.987 0.529 9.569
H 0.113 -0.367 9.689
H 0.537 0.556 5.063
C 6.363 -6.764 4.768
C 3.412 0.785 15.391
H -0.942 4.399 11.135
C 6.563 -3.165 11.751
Si 7.523 -2.895 10.161
H 4.807 -6.319 9.645
C 5.042 6.027 8.277
H 0.452 -5.145 9.476
Si -1.885 -1.582 8.766
H 6.612 -0.575 5.909
C 1.347 5.230 6.808
H 4.123 -7.901 9.193
C -0.264 4.612 11.978
H 6.714 -7.700 4.293
Cl 11.212 -0.118 10.105
H 9.085 -2.681 7.177
As 4.428 -9.537 7.014
Si 4.852 4.394 9.206
H 3.875 3.193 7.254
H 6.594 -0.649 9.977
Cl 6.379 0.531 12.718
Si -0.175 3.196 13.211
H 3.258 3.243 10.683
Si -1.424 0.743 6.585
H 1.976 5.749 7.554
H 7.746 1.892 8.368
Bi 4.296 7.998 9.191
C 4.751 -7.382 9.938
H 2.521 -1.827 13.893
H 2.768 2.620 3.374
Cl -0.280 -2.683 4.028
C -0.488 1.667 7.936
H 4.492 -0.452 4.372
C 6.587 -3.819 8.810
H 2.808 -7.136 5.674
H 7.071 -2.726 12.627
H -0.981 1.601 8.920
C -0.465 1.013 4.995
H 6.430 -4.243 11.949
H 4.629 2.050 8.397
C 2.804 -6.408 6.503
H 5.646 2.993 7.270
H 4.233 -7.439 10.909
H 2.609 -4.520 11.759

(4)
! Na3BiAsCO7 | Alexandria | meta-GGA SCAN | single point on PBEsol structure; values from VASP
! Uncorrected formation energy: -1565 meV per atom
! Calculated volume: 13.758 Å³ per atom
&SYSTEM
  ibrav = 0, nat = 26, ntyp = 5
/
ATOMIC_SPECIES
O 16.00 O.upf
As 74.92 As.upf
C 12.01 C.upf
Bi 208.98 Bi.upf
Na 22.99 Na.upf
CELL_PARAMETERS angstrom
-2.300 1.391 4.220
1.792 -6.406 3.089
8.310 3.904 3.275
ATOMIC_POSITIONS angstrom
O 5.015 1.058 3.638
As 4.629 -1.463 7.339
O 5.341 -2.001 5.811
O 2.647 -1.381 3.269
O 8.366 -0.852 6.438
C 1.151 -4.236 3.608
Bi 3.693 -3.107 4.474
O 6.614 2.555 5.814
O 1.187 -3.665 4.771
O -0.565 -0.258 4.146
Na 0.351 1.892 3.981
O 5.837 -2.168 8.491
O 5.569 3.171 7.698
Na 6.608 0.009 5.151
O 2.460 0.891 4.773
O 2.787 -2.168 6.946
As 3.173 0.353 3.245
Na 0.596 -0.956 2.026
Bi 4.108 1.997 6.110
O 1.964 1.058 2.093
Na 7.451 -3.002 6.604
O 5.155 0.271 7.315
Na 7.206 -0.154 8.558
Na 1.193 -1.119 5.433
C 6.651 3.126 6.976
O 2.233 -4.281 2.886

(5)
! Na4Bi2AsC4O16 | Alexandria | meta-GGA SCAN | single point on PBEsol structure; values from VASP
! Uncorrected formation energy: -1444 meV per atom
! Calculated volume: 14.703 Å³ per atom
&SYSTEM
  ibrav = 0, nat = 54, ntyp = 5
/
ATOMIC_SPECIES
O 16.00 O.upf
Na 22.99 Na.upf
Bi 208.98 Bi.upf
C 12.01 C.upf
As 74.92 As.upf
CELL_PARAMETERS angstrom
-7.823 6.449 -0.431
-2.175 -2.385 9.621
9.570 3.677 -2.147
ATOMIC_POSITIONS angstrom
O 0.398 7.706 4.519
O -2.672 6.189 7.678
O 3.442 3.213 5.400
Na 0.440 5.239 -0.890
Bi 0.385 4.701 6.539
O -7.679 2.820 8.824
O 5.989 1.486 5.097
C 3.711 4.600 -1.261
As -1.626 6.079 1.009
O 0.034 5.831 1.356
Na -2.788 7.895 -1.058
C 2.457 3.105 4.565
O 2.911 5.956 2.101
O -2.565 0.230 8.801
Na -3.838 0.216 6.662
O -6.235 5.496 6.423
C -5.871 5.850 5.223
O 2.424 2.127 3.724
C -0.754 2.261 0.381
Bi 4.297 1.477 6.754
Na -6.160 3.848 2.528
O -1.121 2.906 6.401
Bi -0.488 -0.362 7.828
O 2.640 0.931 0.071
Na -3.692 6.919 2.908
O -0.883 5.921 4.964
O -1.919 1.743 0.580
O 0.058 2.439 1.374
Bi 0.599 0.831 3.017
O 1.440 7.794 -1.118
O -2.207 7.675 1.240
O 1.504 3.994 4.575
O 3.828 5.866 -1.506
O -6.684 5.671 4.230
As -4.999 2.032 4.595
O -4.773 2.367 6.261
O -1.442 0.731 5.963
O 4.779 3.853 -1.210
O -0.904 2.139 4.298
O -1.852 5.744 -0.657
C -5.472 6.183 0.044
C -1.154 1.927 5.560
O 8.344 3.212 0.164
Na -7.065 2.872 6.494
O -5.721 5.972 1.306
O 5.151 4.112 2.217
O -4.706 6.368 5.024
O 2.546 4.081 -1.062
O -4.145 3.045 3.508
O -2.480 5.066 2.096
Na -0.465 4.262 3.076
Na -2.933 1.192 2.696
C -0.767 7.188 4.718
C 0.487 8.683 -1.108

(6)
! BiAsPd2C | Alexandria | meta-GGA SCAN | single point on PBEsol structure; values from VASP
! Formation enthalpy at 0 K: 211.3 kJ per mole of atoms
! Calculated volume: 26.801 Å³ per atom
&SYSTEM
  ibrav = 0, nat = 5, ntyp = 4
/
ATOMIC_SPECIES
Pd 106.42 Pd.upf
As 74.92 As.upf
Bi 208.98 Bi.upf
C 12.01 C.upf
CELL_PARAMETERS angstrom
-1.412 3.410 -3.400
-2.008 -3.637 -2.815
-4.642 0.603 2.532
ATOMIC_POSITIONS angstrom
Pd -1.004 -1.819 -1.407
As -2.321 0.301 1.266
Pd -0.706 1.705 -1.700
Bi 0.000 0.000 0.000
C -4.030 0.188 -1.842

(7)
! BiAs2CSe | Alexandria | meta-GGA SCAN | single point on PBEsol structure; values from VASP
! Uncorrected formation energy: 2340 meV per atom
! Calculated volume: 31.973 Å³ per atom
&SYSTEM
  ibrav = 0, nat = 5, ntyp = 4
/
ATOMIC_SPECIES
Bi 208.98 Bi.upf
As 74.92 As.upf
Se 78.96 Se.upf
C 12.01 C.upf
CELL_PARAMETERS angstrom
-3.196 3.194 2.922
0.230 -3.548 4.131
4.379 2.579 1.971
ATOMIC_POSITIONS angstrom
Bi 0.000 0.000 0.000
As 0.115 -1.774 2.066
As 2.190 1.289 0.985
Se -1.598 1.597 1.461
C 0.707 1.112 4.512

(8)
! SnBiAsC2 | Alexandria | meta-GGA SCAN | single point on PBEsol structure; values from VASP
! Formation enthalpy at 0 K: 203.5 kJ per mole of atoms
! Calculated volume: 19.619 Å³ per atom
&SYSTEM
  ibrav = 0, nat = 5, ntyp = 4
/
ATOMIC_SPECIES
C 12.01 C.upf
As 74.92 As.upf
Bi 208.98 Bi.upf
Sn 118.71 Sn.upf
CELL_PARAMETERS angstrom
4.298 0.000 0.000
0.000 4.298 0.000
0.000 0.000 5.310
ATOMIC_POSITIONS angstrom
C 2.149 0.000 0.000
As 0.000 0.000 2.655
Bi 2.149 2.149 2.655
C 0.000 2.149 0.000
Sn 0.000 0.000 0.000

> Look up the calculated volume of the second one.

24.116 Å³ per atom

Copy entry 6 word for word.
! BiAsPd2C | Alexandria | meta-GGA SCAN | single point on PBEsol structure; values from VASP
! Formation enthalpy at 0 K: 211.3 kJ per mole of atoms
! Calculated volume: 26.801 Å³ per atom
&SYSTEM
  ibrav = 0, nat = 5, ntyp = 4
/
ATOMIC_SPECIES
Pd 106.42 Pd.upf
As 74.92 As.upf
Bi 208.98 Bi.upf
C 12.01 C.upf
CELL_PARAMETERS angstrom
-1.412 3.410 -3.400
-2.008 -3.637 -2.815
-4.642 0.603 2.532
ATOMIC_POSITIONS angstrom
Pd -1.004 -1.819 -1.407
As -2.321 0.301 1.266
Pd -0.706 1.705 -1.700
Bi 0.000 0.000 0.000
C -4.030 0.188 -1.842

> Among the records above, which one has the lowest calculated volume?

Si4Bi2AsH38C14Cl2